DFT (SCAN) results for Co5Rh at its PBEsol-relaxed geometry.

Unit cell a=2.8337 b=2.8337 c=8.3241 alpha=90.00 beta=90.00 gamma=90.00
Last column: nearest neighbours and their distance in Å.
Positions (direct):
1 Co 0.5000 0.5000 0.6554  9 Co 2.38-2.59
2 Co 0.0000 0.0000 0.1897  5 Co 2.38-2.58, 4 Rh 2.55
3 Co 0.5000 0.5000 0.3446  9 Co 2.38-2.59
4 Co 0.0000 0.0000 0.5000  10 Co 2.39-2.58
5 Co 0.0000 0.0000 0.8103  5 Co 2.38-2.58, 4 Rh 2.55
6 Rh 0.5000 0.5000 0.0000  8 Co 2.55, 4 Rh 2.83

**Formation enthalpy at 0 K**: 5 meV per atom
**Space group**: No. 123